Run one
Entry from Alexandria: a relaxed SrTeIrI2 crystal (PBE). Values from VASP.

Structure (Quantum ESPRESSO input):
```
&SYSTEM
  ibrav = 0, nat = 5, ntyp = 4
/
ATOMIC_SPECIES
Ir 192.22 Ir.upf
Sr 87.62 Sr.upf
I 126.90 I.upf
Te 127.60 Te.upf
CELL_PARAMETERS angstrom
6.206 0.000 0.000
0.000 6.206 0.000
0.000 0.000 6.467
ATOMIC_POSITIONS angstrom
Ir 3.103 3.103 3.234
Sr 0.000 0.000 0.000
I 3.103 0.000 0.000
I 0.000 3.103 0.000
Te 0.000 0.000 3.234
```

Computed properties:
The space group is P4/mmm, No. 123. As for the total moment: 3.442 Bohr magnetons per cell. The value obtained for the calculated density is 4.41 g/cm3. The calculated volume comes out at 49.812 Å³/atom.


Run two
Entry from Alexandria: a relaxed SrTeIrI2 crystal (PBE). Values from VASP.

Structure (Quantum ESPRESSO input):
```
&SYSTEM
  ibrav = 0, nat = 5, ntyp = 4
/
ATOMIC_SPECIES
Ir 192.22 Ir.upf
Te 127.60 Te.upf
I 126.90 I.upf
Sr 87.62 Sr.upf
CELL_PARAMETERS angstrom
-4.437 -2.565 1.881
2.958 -2.142 4.058
-1.164 4.300 3.119
ATOMIC_POSITIONS angstrom
Ir 0.000 0.000 0.000
Te -0.582 2.150 1.559
I -2.219 -1.282 0.940
I 1.479 -1.071 2.029
Sr -1.321 -0.203 4.528
```

Computed properties:
The space group is P4/mmm, No. 123. As for the total moment: 0.000 Bohr magnetons per cell. The value obtained for the calculated density is 6.77 g/cm3. The calculated volume comes out at 32.415 Å³/atom.


Top of the stability list: run two, leading by 1183 meV per atom.


Run one
Entry from Alexandria: a relaxed TaIrI2 crystal (PBE). Values from VASP.

Structure (Quantum ESPRESSO input):
```
&SYSTEM
  ibrav = 0, nat = 4, ntyp = 3
/
ATOMIC_SPECIES
Ir 192.22 Ir.upf
I 126.90 I.upf
Ta 180.95 Ta.upf
CELL_PARAMETERS angstrom
0.000 3.449 3.449
3.449 0.000 3.449
3.449 3.449 0.000
ATOMIC_POSITIONS angstrom
Ir 3.449 3.449 3.449
I 1.724 1.724 1.724
I 5.173 5.173 5.173
Ta 0.000 0.000 0.000
```

Computed properties:
The space group is Fm-3m, No. 225. As for the total moment: 0.000 Bohr magnetons per cell. The value obtained for the calculated density is 12.69 g/cm3. The calculated volume comes out at 20.513 Å³/atom.


Run two
Entry from Alexandria: a relaxed TaIrI2 crystal (PBE). Values from VASP.

Structure (Quantum ESPRESSO input):
```
&SYSTEM
  ibrav = 0, nat = 8, ntyp = 3
/
ATOMIC_SPECIES
I 126.90 I.upf
Ir 192.22 Ir.upf
Ta 180.95 Ta.upf
CELL_PARAMETERS angstrom
-3.904 -0.073 -4.990
4.962 -0.728 -3.872
0.060 -5.981 -3.982
ATOMIC_POSITIONS angstrom
I 2.682 -1.958 -3.971
I 0.374 -4.776 -6.257
I 1.039 -5.196 -10.794
I -1.858 -1.633 -4.666
Ir 0.000 0.000 0.000
Ir -1.657 -3.227 -6.702
Ta 0.529 -0.401 -4.431
Ta 2.776 -3.555 -6.143
```

Computed properties:
The space group is I-42d, No. 122. As for the total moment: 0.000 Bohr magnetons per cell. The value obtained for the calculated density is 9.23 g/cm3. The calculated volume comes out at 28.191 Å³/atom.


Top of the stability list: run one, leading by 129 meV per atom.


Run one
Entry from Alexandria: a relaxed TaIrI3 crystal (PBE). Values from VASP.

Structure (Quantum ESPRESSO input):
```
&SYSTEM
  ibrav = 0, nat = 5, ntyp = 3
/
ATOMIC_SPECIES
I 126.90 I.upf
Ta 180.95 Ta.upf
Ir 192.22 Ir.upf
CELL_PARAMETERS angstrom
-2.020 -4.330 2.720
-1.725 -2.176 -4.745
4.814 -2.597 -0.559
ATOMIC_POSITIONS angstrom
I 2.407 -1.298 -0.279
I -0.862 -1.088 -2.373
I -1.010 -2.165 1.360
Ta 0.000 0.000 0.000
Ir 0.535 -4.551 -1.292
```

Computed properties:
The space group is Pm-3m, No. 221. As for the total moment: 2.141 Bohr magnetons per cell. The value obtained for the calculated density is 7.53 g/cm3. The calculated volume comes out at 33.233 Å³/atom.


Run two
Entry from Alexandria: a relaxed TaIrI3 crystal (PBE). Values from VASP.

Structure (Quantum ESPRESSO input):
```
&SYSTEM
  ibrav = 0, nat = 5, ntyp = 3
/
ATOMIC_SPECIES
Ta 180.95 Ta.upf
I 126.90 I.upf
Ir 192.22 Ir.upf
CELL_PARAMETERS angstrom
5.330 0.000 0.000
0.000 5.330 0.000
0.000 0.000 5.330
ATOMIC_POSITIONS angstrom
Ta 2.665 2.665 2.665
I 0.000 0.000 2.665
I 2.665 0.000 0.000
I 0.000 2.665 0.000
Ir 0.000 0.000 0.000
```

Computed properties:
The space group is Pm-3m, No. 221. As for the total moment: 3.016 Bohr magnetons per cell. The value obtained for the calculated density is 8.27 g/cm3. The calculated volume comes out at 30.291 Å³/atom.


Top of the stability list: run two, leading by 48 meV per atom.


Run one
Entry from Alexandria: a relaxed TaTeIrI2 crystal (PBE). Values from VASP.

Structure (Quantum ESPRESSO input):
```
&SYSTEM
  ibrav = 0, nat = 5, ntyp = 4
/
ATOMIC_SPECIES
I 126.90 I.upf
Ir 192.22 Ir.upf
Ta 180.95 Ta.upf
Te 127.60 Te.upf
CELL_PARAMETERS angstrom
5.226 0.000 0.000
0.000 5.226 0.000
0.000 0.000 5.253
ATOMIC_POSITIONS angstrom
I 2.613 0.000 0.000
I 0.000 2.613 0.000
Ir 0.000 0.000 0.000
Ta 2.613 2.613 2.627
Te 0.000 0.000 2.627
```

Computed properties:
The space group is P4/mmm, No. 123. As for the total moment: 0.052 Bohr magnetons per cell. The value obtained for the calculated density is 8.73 g/cm3. The calculated volume comes out at 28.699 Å³/atom.


Run two
Entry from Alexandria: a relaxed TaTeIrI2 crystal (PBE). Values from VASP.

Structure (Quantum ESPRESSO input):
```
&SYSTEM
  ibrav = 0, nat = 5, ntyp = 4
/
ATOMIC_SPECIES
I 126.90 I.upf
Ir 192.22 Ir.upf
Te 127.60 Te.upf
Ta 180.95 Ta.upf
CELL_PARAMETERS angstrom
5.479 0.000 0.000
0.000 5.479 0.000
0.000 0.000 5.392
ATOMIC_POSITIONS angstrom
I 0.000 2.740 0.000
I 2.740 0.000 0.000
Ir 2.740 2.740 2.696
Te 0.000 0.000 2.696
Ta 0.000 0.000 0.000
```

Computed properties:
The space group is P4/mmm, No. 123. As for the total moment: 2.595 Bohr magnetons per cell. The value obtained for the calculated density is 7.74 g/cm3. The calculated volume comes out at 32.374 Å³/atom.


Top of the stability list: run two, leading by 17 meV per atom.